Entry 1:
The following is a DFT calculation (PBE) of a relaxed SbPbF5 crystal.

Values from the calculation:
* raw formation energy: -2345 meV/atom
* ρ: 4.7 g cm⁻³
* total moment: 0.0 μB per formula unit

Cell: 6.530 9.036 11.202 Å, 90.00 90.00 113.74°
Fractional coordinates of all 28 atoms:
F: 0.059 0.869 0.904
F: 0.487 0.349 0.177
F: 0.005 0.357 0.916
F: 0.943 0.217 0.374
Sb: 0.233 0.727 0.489
F: 0.057 0.783 0.626
F: 0.505 0.857 0.584
F: 0.513 0.651 0.823
F: 0.941 0.131 0.096
F: 0.662 0.029 0.909
F: 0.838 0.471 0.409
F: 0.557 0.283 0.874
Pb: 0.177 0.120 0.257
F: 0.559 0.369 0.596
F: 0.995 0.643 0.084
Sb: 0.767 0.273 0.511
F: 0.443 0.717 0.126
Pb: 0.677 0.620 0.243
F: 0.441 0.631 0.404
F: 0.013 0.151 0.677
F: 0.162 0.529 0.591
Sb: 0.733 0.227 0.011
Pb: 0.823 0.880 0.743
F: 0.495 0.143 0.416
Pb: 0.323 0.380 0.757
Sb: 0.267 0.773 0.989
F: 0.987 0.849 0.323
F: 0.338 0.971 0.091

=====

Entry 2:
The following is a DFT calculation (PBE) of a relaxed Ca3H5Pd12 crystal.

Values from the calculation:
* calculated total energy: -4.45 eV per atom
* ρ: 7.9 g cm⁻³
* total moment: 0.0 μB per formula unit

Cell: 11.537 11.537 11.537 Å, 109.47 109.47 109.47°
Fractional coordinates of all 80 atoms:
H: 0.500 0.500 0.000
Pd: 0.410 0.400 0.093
Pd: 0.100 0.907 0.090
Ca: 0.375 0.750 0.625
H: 0.125 0.375 0.250
H: 0.250 0.375 0.625
Ca: 0.375 0.625 0.250
Ca: 0.625 0.375 0.750
Pd: 0.407 0.317 0.307
Pd: 0.400 0.410 0.593
Pd: 0.090 0.683 0.490
H: 0.375 0.125 0.750
Pd: 0.910 0.593 0.900
Pd: 0.693 0.510 0.600
Pd: 0.400 0.990 0.307
Pd: 0.900 0.093 0.910
H: 0.375 0.250 0.125
H: 0.875 0.250 0.625
H: 0.000 0.500 0.500
Pd: 0.407 0.090 0.600
H: 0.750 0.625 0.375
Pd: 0.100 0.193 0.510
Pd: 0.093 0.193 0.183
Pd: 0.510 0.693 0.100
Pd: 0.817 0.510 0.410
Pd: 0.593 0.910 0.400
Pd: 0.193 0.100 0.010
Ca: 0.875 0.750 0.125
Pd: 0.693 0.183 0.593
Ca: 0.250 0.125 0.375
H: 0.500 0.000 0.000
H: 0.250 0.875 0.125
H: 0.000 0.500 0.000
H: 0.500 0.500 0.500
H: 0.125 0.750 0.375
Pd: 0.907 0.100 0.590
Pd: 0.410 0.010 0.817
Ca: 0.125 0.875 0.750
H: 0.000 0.000 0.500
H: 0.500 0.000 0.500
Pd: 0.683 0.090 0.990
Pd: 0.010 0.600 0.193
Pd: 0.490 0.183 0.090
Pd: 0.900 0.807 0.490
Pd: 0.990 0.590 0.683
Pd: 0.093 0.900 0.410
Pd: 0.010 0.410 0.317
Pd: 0.910 0.317 0.510
Pd: 0.090 0.407 0.100
Pd: 0.600 0.010 0.693
Pd: 0.807 0.900 0.990
Pd: 0.593 0.683 0.693
Pd: 0.183 0.693 0.093
Pd: 0.510 0.817 0.910
Pd: 0.990 0.400 0.807
Ca: 0.125 0.250 0.875
Pd: 0.307 0.817 0.407
Pd: 0.590 0.990 0.183
Pd: 0.490 0.307 0.900
Pd: 0.183 0.490 0.590
Ca: 0.875 0.125 0.250
Pd: 0.317 0.407 0.807
Ca: 0.750 0.375 0.125
Pd: 0.193 0.093 0.683
H: 0.000 0.000 0.000
Pd: 0.807 0.907 0.317
Pd: 0.600 0.590 0.407
Pd: 0.907 0.807 0.817
Pd: 0.590 0.600 0.907
Pd: 0.683 0.593 0.193
Ca: 0.250 0.625 0.875
H: 0.750 0.125 0.875
Pd: 0.817 0.307 0.907
Pd: 0.307 0.490 0.400
Pd: 0.317 0.910 0.010
H: 0.875 0.625 0.750
H: 0.625 0.875 0.250
Ca: 0.750 0.875 0.625
Ca: 0.625 0.250 0.375
H: 0.625 0.750 0.875

=====

Entry 3:
The following is a DFT calculation (PBE) of a relaxed Ta3Nb7Mo crystal.

Values from the calculation:
* calculated formation energy: 0.48 eV/atom
* ρ: 10.0 g cm⁻³
* total moment: 0.0 μB per formula unit

Cell: 6.496 6.154 6.154 Å, 120.00 90.00 90.00°
Fractional coordinates of all 11 atoms:
Ta: 0.778 0.498 0.996
Mo: 0.435 0.333 0.667
Nb: 0.463 0.323 0.161
Nb: 0.463 0.839 0.677
Ta: 0.778 0.004 0.502
Nb: 0.112 0.164 0.836
Nb: 0.120 0.667 0.333
Ta: 0.778 0.498 0.502
Nb: 0.463 0.839 0.161
Nb: 0.112 0.164 0.328
Nb: 0.112 0.672 0.836

=====

Entry 4:
The following is a DFT calculation (PBE) of a relaxed PmPr2Nd3Sm6 crystal.

Values from the calculation:
* calculated formation energy: 0.01 eV/atom
* ρ: 7.0 g cm⁻³
* total moment: 0.0 μB per formula unit

Cell: 6.345 6.345 12.106 Å, 95.03 95.03 120.01°
Fractional coordinates of all 12 atoms:
Pr: 0.333 0.667 0.000
Nd: 0.500 0.500 0.500
Sm: 0.751 0.751 0.250
Nd: 0.167 0.833 0.500
Pm: 0.000 0.000 0.000
Sm: 0.416 0.083 0.250
Nd: 0.833 0.167 0.500
Sm: 0.249 0.249 0.750
Sm: 0.083 0.416 0.250
Sm: 0.917 0.584 0.750
Sm: 0.584 0.917 0.750
Pr: 0.667 0.333 0.000